The following is a PBE calculation of a relaxed structure of CeNd6O12, from the Alexandria database.

The structure in POSCAR format:
```
CeNd6O12
1.0
5.2310 3.0201 3.2506
-5.2310 3.0201 3.2506
0.0000 -6.0402 3.2506
Ce Nd O
1 6 12
Direct
0.0000 0.0000 0.0000 Ce
0.1381 0.6083 0.2955 Nd
0.2955 0.1381 0.6083 Nd
0.3917 0.7045 0.8619 Nd
0.6083 0.2955 0.1381 Nd
0.7045 0.8619 0.3917 Nd
0.8619 0.3917 0.7045 Nd
0.0626 0.6852 0.9365 O
0.0635 0.9374 0.3148 O
0.1777 0.4401 0.5820 O
0.3148 0.0635 0.9374 O
0.4180 0.8223 0.5599 O
0.4401 0.5820 0.1777 O
0.5599 0.4180 0.8223 O
0.5820 0.1777 0.4401 O
0.6852 0.9365 0.0626 O
0.8223 0.5599 0.4180 O
0.9365 0.0626 0.6852 O
0.9374 0.3148 0.0635 O
```

Calculated values
The energy relative to the elements, uncorrected is -3.16 eV/atom. Its calculated volume is 308 Å³/cell. Its density of states at the Fermi level is 11.464 states/eV/cell. The uncorrected energy is -154.03 eV for the cell shown.